No. 1
First-principles (PBE) data for an optimized crystal structure of BaYAu2, as listed in the Alexandria database.

```
BaYAu2
1.0
6.5310 -0.0102 -0.0172
3.4433 5.5495 0.0172
-4.5121 -3.6251 3.0255
Au Ba Y
2 1 1
Cartesian
9.8641 5.4782 0.0000
3.7736 -0.2825 1.5042
5.1224 2.8448 0.0000
1.6635 2.1828 1.5214
```

Values from the calculation:
DFT formation energy, eV per formula unit: -1.8
V, Å³/cell: 110.0
Calculated density, g/cm³: 9.366
Relative energy among the computed polymorphs, eV per atom: 0.2975

---

No. 2
First-principles (PBE) data for an optimized crystal structure of BaYAu2, as listed in the Alexandria database.

```
BaYAu2
1.0
8.1645 0.0000 0.0000
0.0000 8.1645 0.0000
4.0823 4.0823 4.0041
Au Ba Y
4 2 2
Cartesian
5.7808 2.0411 1.0010
2.3837 6.1234 1.0010
6.1234 6.4659 3.0030
10.2056 9.8631 3.0030
8.1645 4.0823 2.0020
0.0000 0.0000 0.0000
4.0823 4.0823 0.0000
4.0823 8.1645 2.0020
```

Values from the calculation:
DFT formation energy, eV per formula unit: -1.7
V, Å³/cell: 266.9
Calculated density, g/cm³: 7.717
Relative energy among the computed polymorphs, eV per atom: 0.3137

---

No. 3
First-principles (PBE) data for an optimized crystal structure of Ba2YAu, as listed in the Alexandria database.

```
Ba2YAu
1.0
5.7218 0.0000 0.0000
2.8609 4.9552 0.0000
2.8609 1.6517 4.6718
Ba Au Y
2 1 1
Cartesian
2.8609 1.6517 1.1680
0.0000 0.0000 0.0000
5.7218 3.3035 2.3359
8.5827 4.9552 3.5039
```

Values from the calculation:
DFT formation energy, eV per formula unit: 0.3
V, Å³/cell: 132.5
Calculated density, g/cm³: 7.027
Relative energy among the computed polymorphs, eV per atom: 0.3835

---

No. 4
First-principles (PBE) data for an optimized crystal structure of BaYAu2, as listed in the Alexandria database.

```
BaYAu2
1.0
-1.7273 -1.4716 4.8979
-3.8427 -3.7592 0.4900
1.2333 -4.8831 1.9424
Au Ba Y
2 1 1
Cartesian
-3.2525 -7.5854 5.4977
-1.0842 -2.5285 1.8326
-2.1684 -5.0569 3.6651
0.0000 0.0000 0.0000
```

Values from the calculation:
DFT formation energy, eV per formula unit: -2.3
V, Å³/cell: 111.2
Calculated density, g/cm³: 9.259
Relative energy among the computed polymorphs, eV per atom: 0.1723

---

No. 5
First-principles (PBE) data for an optimized crystal structure of BaYAu3, as listed in the Alexandria database.

```
BaYAu3
1.0
-2.8007 -3.7043 -2.9365
-1.7786 -2.3366 4.6438
-4.3796 3.3177 -0.0080
Au Y Ba
3 1 1
Cartesian
-0.8893 -1.1683 2.3219
-1.4003 -1.8521 -1.4683
-2.1898 1.6589 -0.0040
0.0000 0.0000 0.0000
-4.4795 -1.3616 0.8496
```

Values from the calculation:
DFT formation energy, eV per formula unit: -2.0
V, Å³/cell: 165.9
Calculated density, g/cm³: 8.180
Relative energy among the computed polymorphs, eV per atom: 0.0000

---

No. 6
First-principles (PBE) data for an optimized crystal structure of Ba2YAu, as listed in the Alexandria database.

```
Ba2YAu
1.0
11.1097 -0.0130 -0.0077
10.3086 4.1422 -0.0077
10.3086 1.9874 3.6343
Au Ba Y
1 2 1
Cartesian
23.7952 4.5874 2.7142
0.4986 0.0961 0.0569
15.3649 2.9621 1.7526
7.9317 1.5291 0.9047
```

Values from the calculation:
DFT formation energy, eV per formula unit: -0.4
V, Å³/cell: 168.1
Calculated density, g/cm³: 5.538
Relative energy among the computed polymorphs, eV per atom: 0.2265